Density functional theory data (PBE) for a geometry-optimized KLaRe structure.

Values from the calculation:
The theoretical density is 6.658 g cm⁻³. The energy relative to the elements comes out at 1.05 eV/atom. The density of states at the Fermi level comes out at 0.451 states/eV/atom.

a b c (Å): 3.4752 3.4752 8.6857
angles (deg): 90.00 90.00 120.00
Space group P3m1 (No. 156)
Asymmetric unit:
K (0.0000, 0.0000, 0.0000) [1 per cell]
La (0.6667, 0.3333, 0.4611) [1 per cell]
Re (0.3333, 0.6667, 0.6887) [1 per cell]



Density functional theory data (PBE) for a geometry-optimized PtSe2Cl structure.

Values from the calculation:
The theoretical density is 5.633 g cm⁻³. Its calculated total energy is -28.79 eV per cell. The density of states at the Fermi level comes out at 0.906 states/eV/atom.

a b c (Å): 3.864 7.528 7.873
angles (deg): 90.00 90.00 90.00
Space group Immm (No. 71)
Asymmetric unit:
Pt (0.000, 0.000, 0.000) [2 per cell]
Se (0.000, 0.309, 0.500) [4 per cell]
Cl (0.000, 0.500, 0.000) [2 per cell]



Density functional theory data (PBE) for a geometry-optimized Na2TlTeH structure.

Values from the calculation:
The theoretical density is 5.256 g cm⁻³. Its calculated total energy is -13.54 eV per cell. The density of states at the Fermi level comes out at 0.014 states/eV/atom.

a b c (Å): 4.899 4.899 4.989
angles (deg): 90.00 90.00 90.00
Space group P4/mmm (No. 123)
Asymmetric unit:
Na (0.000, 0.500, 0.000) [2 per cell]
Tl (0.000, 0.000, 0.500) [1 per cell]
Te (0.500, 0.500, 0.500) [1 per cell]
H (0.000, 0.000, 0.000) [1 per cell]



Density functional theory data (PBE) for a geometry-optimized PrNdTl structure.

Values from the calculation:
The theoretical density is 7.445 g cm⁻³. The energy relative to the elements comes out at -0.06 eV/atom. The density of states at the Fermi level comes out at 1.419 states/eV/atom.

a b c (Å): 7.587 7.587 7.587
angles (deg): 90.00 90.00 90.00
Space group F-43m (No. 216)
Asymmetric unit:
Pr (0.000, 0.000, 0.000) [4 per cell]
Nd (0.000, 0.000, 0.500) [4 per cell]
Tl (0.250, 0.250, 0.750) [4 per cell]



Density functional theory data (PBE) for a geometry-optimized Cs10CdAu3 structure.

Values from the calculation:
The theoretical density is 3.666 g cm⁻³. The energy relative to the elements comes out at -0.11 eV/atom. The density of states at the Fermi level comes out at 0.568 states/eV/atom.

a b c (Å): 19.455 19.455 19.455
angles (deg): 90.00 90.00 90.00
Space group Fm-3m (No. 225)
Asymmetric unit:
Cs (0.000, 0.165, 0.165) [48 per cell]
Cs (0.118, 0.118, 0.382) [32 per cell]
Cd (0.250, 0.250, 0.250) [8 per cell]
Au (0.000, 0.000, 0.277) [24 per cell]



Density functional theory data (PBE) for a geometry-optimized SmPd5Au2 structure.

Values from the calculation:
The theoretical density is 12.804 g cm⁻³. The energy relative to the elements comes out at -0.44 eV/atom. The density of states at the Fermi level comes out at 0.693 states/eV/atom.

a b c (Å): 4.158 4.158 16.145
angles (deg): 90.00 90.00 90.00
Space group I4/mmm (No. 139)
Asymmetric unit:
Sm (0.000, 0.000, 0.000) [2 per cell]
Pd (0.000, 0.000, 0.500) [2 per cell]
Pd (0.000, 0.500, 0.128) [8 per cell]
Au (0.000, 0.000, 0.252) [4 per cell]



Density functional theory data (PBE) for a geometry-optimized Cs2HgBiO structure.

Values from the calculation:
The theoretical density is 6.134 g cm⁻³. Its calculated total energy is -13.71 eV per cell. The density of states at the Fermi level comes out at 0.743 states/eV/atom.

a b c (Å): 6.299 6.299 4.717
angles (deg): 90.00 90.00 90.00
Space group P4/mmm (No. 123)
Asymmetric unit:
Cs (0.000, 0.500, 0.000) [2 per cell]
Hg (0.000, 0.000, 0.500) [1 per cell]
Bi (0.500, 0.500, 0.500) [1 per cell]
O (0.500, 0.500, 0.000) [1 per cell]



Density functional theory data (PBE) for a geometry-optimized NdAl2CuPd4 structure.

Values from the calculation:
The theoretical density is 8.215 g cm⁻³. The energy relative to the elements comes out at -0.71 eV/atom. The density of states at the Fermi level comes out at 0.641 states/eV/atom.

a b c (Å): 4.2856 4.2856 26.2072
angles (deg): 90.00 90.00 120.00
Space group R-3m (No. 166, hexagonal axes)
Asymmetric unit:
Nd (0.0000, 0.0000, 0.0000) [3 per cell]
Al (0.0000, 0.0000, 0.2327) [6 per cell]
Cu (0.0000, 0.0000, 0.5000) [3 per cell]
Pd (0.0000, 0.0000, 0.1304) [6 per cell]
Pd (0.0000, 0.0000, 0.4031) [6 per cell]



Density functional theory data (PBE) for a geometry-optimized Tb6Nd5Tm2 structure.

Values from the calculation:
The theoretical density is 7.695 g cm⁻³. The energy relative to the elements comes out at 0.09 eV/atom. The density of states at the Fermi level comes out at 1.201 states/eV/atom.

a b c (Å): 11.671 20.635 3.606
angles (deg): 90.00 90.00 90.00
Space group Pbam (No. 55)
Asymmetric unit:
Tb (0.062, 0.081, 0.000) [4 per cell]
Tb (0.081, 0.368, 0.000) [4 per cell]
Tb (0.174, 0.639, 0.500) [4 per cell]
Nd (0.000, 0.500, 0.500) [2 per cell]
Nd (0.084, 0.227, 0.500) [4 per cell]
Nd (0.198, 0.948, 0.500) [4 per cell]
Tm (0.171, 0.789, 0.000) [4 per cell]



Density functional theory data (PBE) for a geometry-optimized LiP2Au structure.

Values from the calculation:
The theoretical density is 6.504 g cm⁻³. The energy relative to the elements comes out at -0.09 eV/atom. The density of states at the Fermi level comes out at 0.156 states/eV/atom.

a b c (Å): 11.171 2.990 4.154
angles (deg): 90.00 101.95 90.00
Space group Cm (No. 8)
Asymmetric unit:
Li (0.000, 0.000, 0.000) [2 per cell]
P (0.040, 0.500, 0.524) [2 per cell]
P (0.240, 0.500, 0.604) [2 per cell]
Au (0.278, 0.000, 0.124) [2 per cell]



Density functional theory data (PBE) for a geometry-optimized BaCd11Ni structure.

Values from the calculation:
The theoretical density is 7.879 g cm⁻³. The energy relative to the elements comes out at -0.11 eV/atom. The density of states at the Fermi level comes out at 0.463 states/eV/atom.

a b c (Å): 5.654 14.490 7.797
angles (deg): 90.00 109.05 90.00
Space group C2/m (No. 12)
Asymmetric unit:
Ba (0.000, 0.000, 0.000) [2 per cell]
Cd (0.000, 0.000, 0.500) [2 per cell]
Cd (0.098, 0.394, 0.230) [8 per cell]
Cd (0.189, 0.171, 0.364) [8 per cell]
Cd (0.250, 0.250, 0.000) [4 per cell]
Ni (0.000, 0.500, 0.500) [2 per cell]



Density functional theory data (PBE) for a geometry-optimized Ho3BiOs structure.

Values from the calculation:
The theoretical density is 10.715 g cm⁻³. The energy relative to the elements comes out at -0.41 eV/atom. The density of states at the Fermi level comes out at 0.454 states/eV/atom.

a b c (Å): 14.963 4.911 8.786
angles (deg): 90.00 120.87 90.00
Space group C2/m (No. 12)
Asymmetric unit:
Ho (0.070, 0.000, 0.213) [4 per cell]
Ho (0.101, 0.500, 0.811) [4 per cell]
Ho (0.249, 0.000, 0.766) [4 per cell]
Bi (0.142, 0.500, 0.487) [4 per cell]
Os (0.167, 0.000, 0.004) [4 per cell]